[1]
# ZrGaAu, single point on PBEsol structure, DFT SCAN
data_ZrGaAu
_cell_length_a 4.3238
_cell_length_b 4.3238
_cell_length_c 6.6718
_cell_angle_alpha 90.00
_cell_angle_beta 90.00
_cell_angle_gamma 120.00
_space_group_name_H-M_alt 'P 1'
_space_group_IT_number 1
_space_group_name_Hall 'P 1'
loop_
_atom_site_label
_atom_site_type_symbol
_atom_site_fract_x
_atom_site_fract_y
_atom_site_fract_z
_atom_site_occupancy
Zr1 Zr 0.0000 0.0000 0.0000 1
Zr2 Zr 0.0000 0.0000 0.5000 1
Ga1 Ga 0.3333 0.6667 0.2157 1
Ga2 Ga 0.3333 0.6667 0.7843 1
Au1 Au 0.6667 0.3333 0.2855 1
Au2 Au 0.6667 0.3333 0.7145 1
# ΔH_f (0 K)   -0.852 eV/atom
# SG   P-6m2, No. 187
# Size of the total moment   0.000 μB per atom
# DOS at the Fermi energy   0.58 states/eV/f.u.

=====

[2]
# Ga2Ir2Au, single point on PBEsol structure, DFT SCAN
data_Ga2Ir2Au
_cell_length_a 7.1973
_cell_length_b 7.1973
_cell_length_c 2.9063
_cell_angle_alpha 90.00
_cell_angle_beta 90.00
_cell_angle_gamma 90.00
_space_group_name_H-M_alt 'P 1'
_space_group_IT_number 1
_space_group_name_Hall 'P 1'
loop_
_atom_site_label
_atom_site_type_symbol
_atom_site_fract_x
_atom_site_fract_y
_atom_site_fract_z
_atom_site_occupancy
Ga1 Ga 0.1559 0.3441 0.0000 1
Ga2 Ga 0.3441 0.8441 0.0000 1
Ga3 Ga 0.6559 0.1559 0.0000 1
Ga4 Ga 0.8441 0.6559 0.0000 1
Ir1 Ir 0.1424 0.6424 0.5000 1
Ir2 Ir 0.3576 0.1424 0.5000 1
Ir3 Ir 0.6424 0.8576 0.5000 1
Ir4 Ir 0.8576 0.3576 0.5000 1
Au1 Au 0.0000 0.0000 0.5000 1
Au2 Au 0.5000 0.5000 0.5000 1
# ΔH_f (0 K)   -0.277 eV/atom
# SG   P4/mbm, No. 127
# Size of the total moment   0.000 μB per atom
# DOS at the Fermi energy   2.02 states/eV/f.u.

=====

[3]
# Ba2RhAu, single point on PBEsol structure, DFT SCAN
data_Ba2RhAu
_cell_length_a 4.5846
_cell_length_b 4.5113
_cell_length_c 11.4865
_cell_angle_alpha 90.00
_cell_angle_beta 90.00
_cell_angle_gamma 90.00
_space_group_name_H-M_alt 'P 1'
_space_group_IT_number 1
_space_group_name_Hall 'P 1'
loop_
_atom_site_label
_atom_site_type_symbol
_atom_site_fract_x
_atom_site_fract_y
_atom_site_fract_z
_atom_site_occupancy
Ba1 Ba 0.0000 0.0000 0.0000 1
Ba2 Ba 0.0000 0.5000 0.5000 1
Ba3 Ba 0.5000 0.0000 0.2851 1
Ba4 Ba 0.5000 0.5000 0.7851 1
Rh1 Rh 0.0000 0.0000 0.7076 1
Rh2 Rh 0.0000 0.5000 0.2076 1
Au1 Au 0.5000 0.0000 0.5807 1
Au2 Au 0.5000 0.5000 0.0807 1
# ΔH_f (0 K)   -0.489 eV/atom
# SG   Amm2, No. 38
# Size of the total moment   0.000 μB per atom
# DOS at the Fermi energy   0.89 states/eV/f.u.

=====

[4]
# V3Zn2O8, single point on PBEsol structure, DFT SCAN
data_V3Zn2O8
_cell_length_a 5.9029
_cell_length_b 5.9029
_cell_length_c 5.9029
_cell_angle_alpha 57.93
_cell_angle_beta 57.93
_cell_angle_gamma 57.93
_space_group_name_H-M_alt 'P 1'
_space_group_IT_number 1
_space_group_name_Hall 'P 1'
loop_
_atom_site_label
_atom_site_type_symbol
_atom_site_fract_x
_atom_site_fract_y
_atom_site_fract_z
_atom_site_occupancy
V1 V 0.0000 0.5000 0.5000 1
V2 V 0.5000 0.0000 0.5000 1
V3 V 0.5000 0.5000 0.0000 1
Zn1 Zn 0.1232 0.1232 0.1232 1
Zn2 Zn 0.8768 0.8768 0.8768 1
O1 O 0.2465 0.2465 0.7146 1
O2 O 0.2465 0.7146 0.2465 1
O3 O 0.2564 0.2564 0.2564 1
O4 O 0.2854 0.7535 0.7535 1
O5 O 0.7146 0.2465 0.2465 1
O6 O 0.7436 0.7436 0.7436 1
O7 O 0.7535 0.2854 0.7535 1
O8 O 0.7535 0.7535 0.2854 1
# SG   R-3m, No. 166
# Size of the total moment   0.231 μB per atom
# ΔE to the lowest computed polymorph   0.0488 eV/atom
# Uncorrected formation energy   -2.257 eV per atom
# DOS at the Fermi energy   0.70 states/eV/f.u.